(1)
## DyZr3Fe8 (GGA-PBE)

Data for a geometry-optimized DyZr3Fe8 structure.

Geometry as POSCAR:
```
DyZr3Fe8
1.0
-1.248 4.767 -0.919
-4.825 1.356 -0.083
-1.704 3.673 7.703
Fe Dy Zr
8 1 3
direct
0.937 0.937 0.691
0.940 0.438 0.183
0.187 0.187 0.438
0.688 0.688 0.937
0.438 0.438 0.183
0.937 0.435 0.691
0.435 0.937 0.691
0.438 0.940 0.183
0.875 0.875 0.375
0.499 0.499 0.502
0.001 0.001 0.998
0.375 0.375 0.875
```

Properties
Calculated total energy ... -8.3920 eV per atom
ΔH_f (0 K) ... -5.3 kcal/mol of atoms
Space-group type ... R3m (160)
V ... 14.9 Å³ per atom


(2)
## La3BeIn (GGA-PBE)

Data for a geometry-optimized La3BeIn structure.

Geometry as POSCAR:
```
La3BeIn
1.0
5.439 0.000 0.000
0.000 5.439 0.000
0.000 0.000 5.439
La Be In
3 1 1
direct
0.500 0.000 0.000
0.000 0.500 0.000
0.000 0.000 0.500
0.000 0.000 0.000
0.500 0.500 0.500
```

Properties
Calculated total energy ... -4.1593 eV per atom
ΔH_f (0 K) ... 2.1 kcal/mol of atoms
Space-group type ... Pm-3m (221)
V ... 32.2 Å³ per atom
Offset from the most stable computed form ... 0.000 eV per atom


(3)
## NaLi3Pb12 (GGA-PBE)

Data for a geometry-optimized NaLi3Pb12 structure.

Geometry as POSCAR:
```
NaLi3Pb12
1.0
-4.625 0.368 -1.144
-0.982 -3.779 2.754
-2.905 12.170 15.661
Pb Na Li
12 1 3
direct
0.000 0.500 0.376
0.500 0.000 0.376
0.500 0.000 0.624
0.000 0.500 0.871
0.500 0.500 0.252
0.500 0.000 0.129
0.500 0.500 0.000
0.000 0.500 0.624
0.500 0.000 0.871
0.500 0.500 0.748
0.000 0.500 0.129
0.500 0.500 0.500
0.000 0.000 0.000
0.000 0.000 0.749
0.000 0.000 0.251
0.000 0.000 0.500
```

Properties
Calculated total energy ... -3.3434 eV per atom
ΔH_f (0 K) ... -2.8 kcal/mol of atoms
Space-group type ... P4/mmm (123)
V ... 28.6 Å³ per atom


(4)
## CaPmIn (GGA-PBE)

Data for a geometry-optimized CaPmIn structure.

Geometry as POSCAR:
```
CaPmIn
1.0
5.345 0.000 0.000
2.672 4.629 0.000
2.672 1.543 4.364
Ca In Pm
1 1 1
direct
0.500 0.500 0.500
0.250 0.250 0.250
0.000 0.000 0.000
```

Properties
Calculated total energy ... -3.3580 eV per atom
ΔH_f (0 K) ... -4.5 kcal/mol of atoms
Space-group type ... F-43m (216)
V ... 36.0 Å³ per atom
Offset from the most stable computed form ... 0.225 eV per atom